First-principles (PBE) data for a geometry-optimized Al3BiOs structure, as listed in the Alexandria database.

* E above lowest polymorph: 0.0 meV per atom
* calculated density: 7.1 g/cm3
* space group: Pm-3m
* total moment: 0.000 μB per cell
* raw total energy: -5.046 eV/atom

Cell and atoms, written as extended XYZ:
```
5
Lattice="4.817 0.000 0.000 0.000 4.817 0.000 0.000 0.000 4.817" Properties=species:S:1:pos:R:3 pbc="T T T"
Al 0.000 0.000 2.408
Al 0.000 2.408 0.000
Al 2.408 0.000 0.000
Bi 2.408 2.408 2.408
Os 0.000 0.000 0.000
```

First-principles (PBE) data for a geometry-optimized PuFeGe structure, as listed in the Alexandria database.

* calculated density: 10.9 g/cm3
* space group: I4mm
* total moment: 3.475 μB per cell
* raw total energy: -9.055 eV/atom

Cell and atoms, written as extended XYZ:
```
3
Lattice="-1.803 1.803 4.382 1.803 -1.803 4.382 1.803 1.803 -4.382" Properties=species:S:1:pos:R:3 pbc="T T T"
Pu 0.000 0.000 0.000
Fe 0.000 0.000 3.396
Ge 0.000 0.000 5.976
```